i) VASP calculation (PBE) on an optimized crystal structure of NaLi2GaF6.

Cell: 5.7300 5.7300 5.7300 Å, 60.00 60.00 60.00°
Fractional coordinates of all 10 atoms:
F (0.2345, 0.7655, 0.7655)
F (0.7655, 0.7655, 0.2345)
F (0.7655, 0.2345, 0.7655)
F (0.7655, 0.2345, 0.2345)
F (0.2345, 0.7655, 0.2345)
F (0.2345, 0.2345, 0.7655)
Na (0.5000, 0.5000, 0.5000)
Li (0.2500, 0.2500, 0.2500)
Li (0.7500, 0.7500, 0.7500)
Ga (0.0000, 0.0000, 0.0000)

Calculated values
- M_tot: 0.00 μB per formula unit
- Fermi-level density of states: 0.00 states/eV per cell
- Crystal system: cubic
- Volume: 13.30 A^3/atom



ii) VASP calculation (PBE) on an optimized crystal structure of NaLi2GaF6.

Cell: 5.2314 5.2311 5.6557 Å, 62.43 62.44 60.00°
Fractional coordinates of all 10 atoms:
F (0.9410, 0.5701, 0.2404)
F (0.3757, 0.7098, 0.7772)
F (0.2485, 0.9410, 0.2403)
F (0.5703, 0.2485, 0.2402)
F (0.7097, 0.1375, 0.7771)
F (0.1378, 0.3758, 0.7769)
Ga (0.3222, 0.3222, 0.0336)
Li (0.0197, 0.0198, 0.9408)
Li (0.5267, 0.5267, 0.4193)
Na (0.8102, 0.8102, 0.5694)

Calculated values
- M_tot: 0.00 μB per formula unit
- Fermi-level density of states: 0.00 states/eV per cell
- Crystal system: trigonal
- Volume: 11.33 A^3/atom



Calculated relative energies: i) 23.1; ii) 0.0, given in kJ/mol of atoms